First-principles (GGA-PBEsol) data for a geometry-optimized Zr2TlW structure, as listed in the Alexandria database.

a = 3.032 Å, b = 3.032 Å, c = 9.291 Å
α = 90.00°, β = 90.00°, γ = 108.35°
Fractional positions:
Zr 0.000 0.000 0.227
Zr 0.000 0.000 0.773
Tl 0.500 0.500 0.500
W 0.500 0.500 0.000

Summary:
DFT formation energy = 62 meV/atom
excess energy over the best structure of this formula in the dataset = 0 meV/atom